(1)
# PBE Ca3La2ErTe6, optimized geometry
# - DOS at the Fermi energy (states/eV/f.u.) = 5.45
# - raw formation energy (eV/atom) = -1.53
# - electronic total energy (eV per atom) = -4.801
data_Ca3La2ErTe6
_chemical_formula_sum 'Ca6 La4 Er2 Te12'
_cell_length_a 19.719
_cell_length_b 4.463
_cell_length_c 9.076
_cell_angle_alpha 90.00
_cell_angle_beta 104.30
_cell_angle_gamma 90.00
_symmetry_space_group_name_H-M 'C 1 2/m 1'
_symmetry_Int_Tables_number 12
loop_
_symmetry_equiv_pos_as_xyz
'x,y,z'
'-x,-y,-z'
'-x,y,-z'
'x,-y,z'
'x+1/2,y+1/2,z'
'-x+1/2,-y+1/2,-z'
'-x+1/2,y+1/2,-z'
'x+1/2,-y+1/2,z'
loop_
_atom_site_label
_atom_site_type_symbol
_atom_site_fract_x
_atom_site_fract_y
_atom_site_fract_z
Ca1 Ca 0.000 0.000 0.000
Ca2 Ca 0.169 0.500 0.335
La1 La 0.169 0.500 0.839
Er1 Er 0.000 0.000 0.500
Te1 Te 0.002 0.500 0.261
Te2 Te 0.162 0.000 0.092
Te3 Te 0.162 0.000 0.575

(2)
# PBE CsNbAgO4, optimized geometry
# - DOS at the Fermi energy (states/eV/f.u.) = 2.73
# - raw formation energy (eV/atom) = -1.57
# - electronic total energy (eV per atom) = -6.375
data_CsNbAgO4
_chemical_formula_sum 'Cs2 Nb2 Ag2 O8'
_cell_length_a 6.661
_cell_length_b 6.661
_cell_length_c 7.335
_cell_angle_alpha 90.00
_cell_angle_beta 90.00
_cell_angle_gamma 90.00
_symmetry_space_group_name_H-M 'I -4'
_symmetry_Int_Tables_number 82
loop_
_symmetry_equiv_pos_as_xyz
'x,y,z'
'y,-x,-z'
'-x,-y,z'
'-y,x,-z'
'x+1/2,y+1/2,z+1/2'
'y+1/2,-x+1/2,-z+1/2'
'-x+1/2,-y+1/2,z+1/2'
'-y+1/2,x+1/2,-z+1/2'
loop_
_atom_site_label
_atom_site_type_symbol
_atom_site_fract_x
_atom_site_fract_y
_atom_site_fract_z
Cs1 Cs 0.000 0.000 0.000
Nb1 Nb 0.000 0.500 0.250
Ag1 Ag 0.000 0.000 0.500
O1 O 0.100 0.710 0.394

(3)
# PBE Pr4SiIrBr2, optimized geometry
# - DOS at the Fermi energy (states/eV/f.u.) = 6.37
# - raw formation energy (eV/atom) = -1.03
# - electronic total energy (eV per atom) = -5.626
data_Pr4SiIrBr2
_chemical_formula_sum 'Pr4 Si1 Ir1 Br2'
_cell_length_a 7.618
_cell_length_b 4.194
_cell_length_c 7.901
_cell_angle_alpha 90.00
_cell_angle_beta 106.99
_cell_angle_gamma 90.00
_symmetry_space_group_name_H-M 'P 1 2/m 1'
_symmetry_Int_Tables_number 10
loop_
_symmetry_equiv_pos_as_xyz
'x,y,z'
'-x,-y,-z'
'-x,y,-z'
'x,-y,z'
loop_
_atom_site_label
_atom_site_type_symbol
_atom_site_fract_x
_atom_site_fract_y
_atom_site_fract_z
Pr1 Pr 0.225 0.000 0.199
Pr2 Pr 0.255 0.500 0.797
Si1 Si 0.500 0.000 0.000
Ir1 Ir 0.000 0.500 0.000
Br1 Br 0.000 0.000 0.500
Br2 Br 0.500 0.500 0.500